DFT (GGA-PBE) results for crystalline TlBiCl5 at its relaxed geometry.

Cell and atoms, written as POSCAR:
```
TlBiCl5
1.0
5.947 -4.410 0.000
5.947 4.410 0.000
-4.678 0.000 9.386
Tl Bi Cl
2 2 10
Cartesian
4.777 -4.406 2.347 Tl
2.438 4.406 7.040 Tl
5.947 0.000 0.000 Bi
3.608 0.000 4.693 Bi
5.424 2.645 0.258 Cl
1.295 0.434 3.423 Cl
4.130 2.645 4.435 Cl
-1.044 -0.434 8.116 Cl
2.438 0.823 7.040 Cl
4.777 -0.823 2.347 Cl
8.259 0.434 1.270 Cl
3.085 -2.645 4.951 Cl
5.920 -0.434 5.963 Cl
1.791 -2.645 9.128 Cl
```

Properties
magnetization	0.000	μB per atom
VASP energy	-21.15	eV per formula unit